1.
## CaNd6Co2 (PBE-GGA)

Data for CaNd6Co2 after structural relaxation.

Calculated values
**Electronic total energy**: -4.97 eV per atom
**ΔH_f (0 K)**: 0.0058 eV/atom

a b c (Å): 8.861 8.861 8.861
angles (deg): 109.24 113.30 105.95
Atoms (fractional coordinates):
Ca  0.000  0.500  0.500
Ca  0.000  0.000  0.000
Nd  0.526  0.818  0.709
Nd  0.474  0.182  0.291
Nd  0.109  0.818  0.291
Nd  0.891  0.182  0.709
Nd  0.784  0.020  0.236
Nd  0.216  0.980  0.764
Nd  0.216  0.452  0.236
Nd  0.784  0.548  0.764
Nd  0.677  0.319  0.996
Nd  0.323  0.681  0.004
Nd  0.323  0.319  0.642
Nd  0.677  0.681  0.358
Co  0.500  0.114  0.614
Co  0.500  0.886  0.386
Co  0.710  0.710  0.000
Co  0.290  0.290  0.000

2.
## Rb2Tl2Sb (PBE-GGA)

Data for Rb2Tl2Sb after structural relaxation.

Calculated values
**Relative energy among the computed polymorphs**: 0.000 eV/atom
**Electronic total energy**: -2.38 eV per atom
**Formation energy (no corrections)**: -0.22 eV/atom

a b c (Å): 8.029 7.524 8.607
angles (deg): 106.05 90.00 122.25
Atoms (fractional coordinates):
Rb  0.596  0.342  0.144
Rb  0.254  0.658  0.356
Rb  0.404  0.658  0.856
Rb  0.746  0.342  0.644
Tl  0.783  0.820  0.553
Tl  0.964  0.180  0.947
Tl  0.217  0.180  0.447
Tl  0.036  0.820  0.053
Sb  0.794  0.000  0.250
Sb  0.206  0.000  0.750

3.
## BaDy3Fe (PBE-GGA)

Data for BaDy3Fe after structural relaxation.

Calculated values
**Electronic total energy**: -4.72 eV per atom
**ΔH_f (0 K)**: 0.1226 eV/atom

a b c (Å): 5.422 5.422 5.422
angles (deg): 90.00 90.00 90.00
Atoms (fractional coordinates):
Fe  0.000  0.000  0.000
Ba  0.500  0.500  0.500
Dy  0.000  0.500  0.000
Dy  0.000  0.000  0.500
Dy  0.500  0.000  0.000

4.
## Li2AcPd2Pt (PBE-GGA)

Data for Li2AcPd2Pt after structural relaxation.

Calculated values
**Electronic total energy**: -4.51 eV per atom
**ΔH_f (0 K)**: -0.4509 eV/atom

a b c (Å): 4.541 4.541 5.798
angles (deg): 90.00 90.00 90.00
Atoms (fractional coordinates):
Li  0.500  0.000  0.000
Li  0.000  0.500  0.000
Ac  0.000  0.000  0.500
Pd  0.500  0.500  0.741
Pd  0.500  0.500  0.259
Pt  0.000  0.000  0.000

5.
## Ca2Sn3Pb (PBE-GGA)

Data for Ca2Sn3Pb after structural relaxation.

Calculated values
**Electronic total energy**: -3.68 eV per atom
**ΔH_f (0 K)**: -0.3886 eV/atom

a b c (Å): 4.912 9.505 9.087
angles (deg): 121.54 105.68 90.00
Atoms (fractional coordinates):
Ca  0.163  0.913  0.827
Ca  0.515  0.265  0.530
Ca  0.837  0.087  0.173
Ca  0.485  0.735  0.470
Sn  0.664  0.676  0.828
Sn  0.336  0.848  0.172
Sn  0.000  0.000  0.500
Sn  0.336  0.324  0.172
Sn  0.000  0.500  0.500
Sn  0.664  0.152  0.828
Pb  0.826  0.576  0.152
Pb  0.174  0.424  0.848

6.
## CsBaH6Rh (PBE-GGA)

Data for CsBaH6Rh after structural relaxation.

Calculated values
**Electronic total energy**: -3.76 eV per atom

a b c (Å): 5.564 5.563 5.617
angles (deg): 89.98 90.01 60.00
Atoms (fractional coordinates):
Cs  0.000  0.000  0.893
Ba  0.667  0.667  0.364
H  0.188  0.188  0.364
H  0.475  0.051  0.707
H  0.474  0.474  0.707
H  0.051  0.474  0.707
H  0.188  0.624  0.364
H  0.624  0.188  0.364
Rh  0.333  0.333  0.531

7.
## Tb4PmTmS8 (PBE-GGA)

Data for Tb4PmTmS8 after structural relaxation.

Calculated values
**Electronic total energy**: -6.27 eV per atom
**Formation energy (no corrections)**: -1.93 eV/atom

a b c (Å): 8.106 8.106 8.079
angles (deg): 59.89 59.89 60.00
Atoms (fractional coordinates):
Tb  0.624  0.624  0.128
Tb  0.999  0.501  0.500
Tb  0.501  0.999  0.500
Tb  0.999  0.999  0.500
Pm  0.376  0.376  0.873
Tm  0.000  0.000  0.001
S  0.237  0.782  0.745
S  0.782  0.237  0.745
S  0.237  0.237  0.745
S  0.241  0.241  0.278
S  0.761  0.226  0.252
S  0.226  0.761  0.252
S  0.761  0.761  0.252
S  0.757  0.757  0.730

8.
## Na2InHAu (PBE-GGA)

Data for Na2InHAu after structural relaxation.

Calculated values
**Relative energy among the computed polymorphs**: 0.009 eV/atom
**Electronic total energy**: -2.50 eV per atom

a b c (Å): 4.955 4.955 3.870
angles (deg): 90.00 90.00 90.00
Atoms (fractional coordinates):
Na  0.000  0.500  0.000
Na  0.500  0.000  0.000
Au  0.000  0.000  0.500
H  0.000  0.000  0.000
In  0.500  0.500  0.500

Among the records above, which one has the highest electronic total energy?
Rb2Tl2Sb